VASP calculation (PBE-GGA) on crystalline Cd3NiPd6 at its relaxed geometry.

Results
- E_tot: -4.20 eV/atom
- Crystal system: monoclinic
- DOS(E_F): 16.46 states/eV per cell

a = 4.602 Å, b = 7.625 Å, c = 9.951 Å
α = 110.34°, β = 90.00°, γ = 90.00°
Fractional positions:
Pd (0.750, 0.841, 0.826)
Cd (0.250, 0.360, 0.775)
Pd (0.750, 0.762, 0.525)
Cd (0.250, 0.778, 0.986)
Pd (0.750, 0.130, 0.704)
Pd (0.750, 0.942, 0.141)
Cd (0.750, 0.222, 0.014)
Pd (0.250, 0.870, 0.296)
Pd (0.250, 0.159, 0.174)
Cd (0.250, 0.551, 0.385)
Ni (0.250, 0.963, 0.574)
Pd (0.750, 0.538, 0.922)
Pd (0.250, 0.677, 0.679)
Pd (0.250, 0.058, 0.859)
Cd (0.750, 0.640, 0.225)
Pd (0.750, 0.323, 0.321)
Cd (0.750, 0.449, 0.615)
Pd (0.250, 0.462, 0.078)
Pd (0.250, 0.238, 0.475)
Ni (0.750, 0.037, 0.426)